# RbCd2Sn4

A relaxed RbCd2Sn4 crystal (PBE, Alexandria via LeMat-Bulk).

Cell: 5.369 16.419 4.992 Å, 90.00 90.00 90.00°
Space group Cmmm (No. 65)
Symmetry-distinct sites (fractional):
Rb (0.000, 0.000, 0.000)
Cd (0.000, 0.413, 0.500)
Sn (0.000, 0.187, 0.500)
Sn (0.000, 0.301, 0.000)

Computed properties:
- Total magnetization: 0.00 μB per cell
- Formation enthalpy at 0 K: -0.052 eV/atom